VASP calculation (PBE) on an optimized crystal structure of Ti4Re2Rh.

Output
energy of formation from the pure elements = -0.295 eV per atom
V = 116.8 Å³/f.u.
calculated total energy = -9.413 eV/atom

Cell lengths 5.3337, 5.3337, 5.3337 Å; angles 108.87, 109.78, 109.78 degrees
Atoms (fractional coordinates):
Ti: 0.5000 0.0000 0.0000
Ti: 0.5000 0.5000 0.5000
Ti: 0.0000 0.0000 0.5000
Ti: 0.0000 0.5000 0.0000
Re: 0.5000 0.5000 0.0000
Re: 0.5000 0.0000 0.5000
Rh: 0.0000 0.0000 0.0000



VASP calculation (PBE) on an optimized crystal structure of TiRe3Rh.

Output
energy relative to the lowest polymorph listed for this composition = 13.59 kJ per mole of atoms
energy of formation from the pure elements = 2.007 eV per atom
V = 100.0 Å³/f.u.
calculated total energy = -8.511 eV/atom

Cell lengths 4.6411, 4.6411, 4.6411 Å; angles 90.00, 90.00, 90.00 degrees
Atoms (fractional coordinates):
Re: 0.0000 0.5000 0.0000
Re: 0.0000 0.0000 0.5000
Re: 0.5000 0.0000 0.0000
Rh: 0.0000 0.0000 0.0000
Ti: 0.5000 0.5000 0.5000



VASP calculation (PBE) on an optimized crystal structure of Ti4ReRh.

Output
energy relative to the lowest polymorph listed for this composition = 36.46 kJ per mole of atoms
energy of formation from the pure elements = -0.055 eV per atom
V = 111.0 Å³/f.u.
calculated total energy = -8.618 eV/atom

Cell lengths 4.3091, 4.3080, 7.3371 Å; angles 72.95, 72.92, 59.99 degrees
Atoms (fractional coordinates):
Ti: 0.6259 0.6259 0.1223
Ti: 0.3741 0.3741 0.8777
Ti: 0.1239 0.1242 0.6279
Ti: 0.8761 0.8758 0.3721
Re: 0.0000 0.0000 0.0000
Rh: 0.5000 0.5000 0.5000



VASP calculation (PBE) on an optimized crystal structure of Ti4ReRh2.

Output
energy of formation from the pure elements = -0.434 eV per atom
V = 116.1 Å³/f.u.
calculated total energy = -8.824 eV/atom

Cell lengths 5.3234, 5.3234, 5.3234 Å; angles 109.56, 109.43, 109.43 degrees
Atoms (fractional coordinates):
Ti: 0.5000 0.0000 0.0000
Ti: 0.5000 0.5000 0.5000
Ti: 0.0000 0.0000 0.5000
Ti: 0.0000 0.5000 0.0000
Re: 0.0000 0.0000 0.0000
Rh: 0.5000 0.5000 0.0000
Rh: 0.5000 0.0000 0.5000